(1)
Crystalline Li2CeGeN4 at its relaxed geometry. Source: Alexandria via LeMat-Bulk, functional PBE-GGA.

As for the space group: I-42m, No. 121. The uncorrected formation energy is -0.283 eV/atom.

```
Li2CeGeN4
1.0
-2.674 2.674 3.241
2.674 -2.674 3.241
2.674 2.674 -3.241
Li Ce Ge N
2 1 1 4
Cartesian
2.674 0.000 1.620 Li
0.000 2.674 1.620 Li
0.000 0.000 0.000 Ce
0.000 0.000 3.241 Ge
1.127 -1.127 2.260 N
1.547 1.547 0.981 N
-1.127 1.127 2.260 N
1.127 1.127 4.222 N
```

(2)
Crystalline Li2CeGeN at its relaxed geometry. Source: Alexandria via LeMat-Bulk, functional PBE-GGA.

As for the space group: Cmcm, No. 63. The uncorrected formation energy is -0.680 eV/atom.

```
Li2CeGeN
1.0
1.681 -6.393 0.000
1.681 6.393 0.000
0.000 0.000 7.242
Li Ce Ge N
4 2 2 2
Cartesian
1.681 4.450 3.992 Li
1.681 4.450 6.871 Li
1.681 -4.450 0.371 Li
1.681 -4.450 3.250 Li
1.681 0.404 5.432 Ce
1.681 -0.404 1.811 Ce
1.681 3.184 1.811 Ge
1.681 -3.184 5.432 Ge
0.000 0.000 0.000 N
0.000 0.000 3.621 N
```

(3)
Crystalline Li2CeNdGe2 at its relaxed geometry. Source: Alexandria via LeMat-Bulk, functional PBE-GGA.

As for the space group: P-3m1, No. 164. As for the energy of formation from the pure elements: -352 kJ/mol of formula units.

```
Li2CeNdGe2
1.0
4.498 0.000 0.000
-2.249 3.895 0.000
0.000 0.000 7.479
Li Ce Nd Ge
2 1 1 2
Cartesian
0.000 2.597 1.845 Li
2.249 1.298 5.634 Li
0.000 0.000 0.000 Ce
0.000 0.000 3.740 Nd
0.000 2.597 5.672 Ge
2.249 1.298 1.807 Ge
```

(4)
Crystalline LiCeNdGe at its relaxed geometry. Source: Alexandria via LeMat-Bulk, functional PBE-GGA.

As for the space group: F-43m, No. 216. As for the energy of formation from the pure elements: -122 kJ/mol of formula units.

```
LiCeNdGe
1.0
0.000 3.664 3.664
3.664 0.000 3.664
3.664 3.664 0.000
Li Ce Nd Ge
1 1 1 1
Cartesian
0.000 0.000 0.000 Li
5.496 5.496 5.496 Ce
1.832 1.832 1.832 Nd
3.664 3.664 3.664 Ge
```

(5)
Crystalline LiCeNi2Ge2 at its relaxed geometry. Source: Alexandria via LeMat-Bulk, functional PBE-GGA.

As for the space group: P-3m1, No. 164. As for the energy of formation from the pure elements: -339 kJ/mol of formula units.

```
LiCeNi2Ge2
1.0
4.080 0.000 0.000
-2.040 3.534 0.000
0.000 0.000 6.761
Li Ce Ni Ge
1 1 2 2
Cartesian
0.000 0.000 0.000 Li
0.000 0.000 3.380 Ce
0.000 2.356 0.926 Ni
2.040 1.178 5.834 Ni
0.000 2.356 5.285 Ge
2.040 1.178 1.475 Ge
```

(6)
Crystalline LiCeNiGe at its relaxed geometry. Source: Alexandria via LeMat-Bulk, functional PBE-GGA.

As for the space group: F-43m, No. 216. As for the energy of formation from the pure elements: -172 kJ/mol of formula units.

```
LiCeNiGe
1.0
0.000 3.216 3.216
3.216 0.000 3.216
3.216 3.216 0.000
Li Ce Ni Ge
1 1 1 1
Cartesian
0.000 0.000 0.000 Li
4.824 4.824 4.824 Ce
3.216 3.216 3.216 Ni
1.608 1.608 1.608 Ge
```

(7)
Crystalline LiCe2Ni4Ge3 at its relaxed geometry. Source: Alexandria via LeMat-Bulk, functional PBE-GGA.

As for the space group: P-4m2, No. 115. As for the energy of formation from the pure elements: -573 kJ/mol of formula units.

```
LiCe2Ni4Ge3
1.0
4.087 0.000 0.000
0.000 4.087 0.000
0.000 0.000 9.783
Li Ce Ni Ge
1 2 4 3
Cartesian
0.000 0.000 0.000 Li
0.000 2.044 7.314 Ce
2.044 0.000 2.468 Ce
0.000 0.000 4.891 Ni
0.000 2.044 1.287 Ni
2.044 0.000 8.496 Ni
2.044 2.044 4.891 Ni
0.000 2.044 3.642 Ge
2.044 0.000 6.141 Ge
2.044 2.044 0.000 Ge
```

(8)
Crystalline LiCe2GeO at its relaxed geometry. Source: Alexandria via LeMat-Bulk, functional PBE-GGA.

As for the space group: P4/mmm, No. 123. The uncorrected formation energy is -1.449 eV/atom.

```
LiCe2GeO
1.0
4.834 0.000 0.000
0.000 4.834 0.000
0.000 0.000 4.105
Li Ce Ge O
1 2 1 1
Cartesian
0.000 0.000 0.000 Li
0.000 2.417 2.053 Ce
2.417 0.000 2.053 Ce
2.417 2.417 0.000 Ge
0.000 0.000 2.053 O
```

(9)
Crystalline LiCeGe2Pd5 at its relaxed geometry. Source: Alexandria via LeMat-Bulk, functional PBE-GGA.

As for the space group: P4/mmm, No. 123. As for the energy of formation from the pure elements: -520 kJ/mol of formula units.

```
LiCeGe2Pd5
1.0
4.180 0.000 0.000
0.000 4.180 0.000
0.000 0.000 9.266
Li Ce Ge Pd
1 1 2 5
Cartesian
0.000 0.000 0.000 Li
0.000 0.000 4.633 Ce
2.090 2.090 1.205 Ge
2.090 2.090 8.062 Ge
0.000 2.090 2.542 Pd
0.000 2.090 6.725 Pd
2.090 0.000 2.542 Pd
2.090 0.000 6.725 Pd
2.090 2.090 4.633 Pd
```

(10)
Crystalline LiCeGe2Pd at its relaxed geometry. Source: Alexandria via LeMat-Bulk, functional PBE-GGA.

As for the space group: I-4m2, No. 119. As for the energy of formation from the pure elements: -352 kJ/mol of formula units.

```
LiCeGe2Pd
1.0
-2.075 2.075 5.414
2.075 -2.075 5.414
2.075 2.075 -5.414
Li Ce Ge Pd
1 1 2 1
Cartesian
0.000 0.000 0.000 Li
0.000 2.075 2.707 Ce
2.075 0.000 1.474 Ge
2.075 0.000 3.940 Ge
0.000 0.000 5.414 Pd
```

(11)
Crystalline LiCeGePd at its relaxed geometry. Source: Alexandria via LeMat-Bulk, functional PBE-GGA.

As for the space group: F-43m, No. 216. As for the energy of formation from the pure elements: -226 kJ/mol of formula units.

```
LiCeGePd
1.0
0.000 3.332 3.332
3.332 0.000 3.332
3.332 3.332 0.000
Li Ce Ge Pd
1 1 1 1
Cartesian
0.000 0.000 0.000 Li
1.666 1.666 1.666 Ce
4.998 4.998 4.998 Ge
3.332 3.332 3.332 Pd
```

(12)
Crystalline LiCe2Ge4Pd3 at its relaxed geometry. Source: Alexandria via LeMat-Bulk, functional PBE-GGA.

As for the space group: P-4m2, No. 115. As for the energy of formation from the pure elements: -698 kJ/mol of formula units.

```
LiCe2Ge4Pd3
1.0
4.287 0.000 0.000
0.000 4.287 0.000
0.000 0.000 10.381
Li Ce Ge Pd
1 2 4 3
Cartesian
0.000 0.000 0.000 Li
0.000 2.143 7.800 Ce
2.143 0.000 2.582 Ce
0.000 0.000 5.191 Ge
0.000 2.143 1.394 Ge
2.143 0.000 8.988 Ge
2.143 2.143 5.191 Ge
0.000 2.143 3.856 Pd
2.143 0.000 6.525 Pd
2.143 2.143 0.000 Pd
```

(13)
Crystalline LiCePmGe at its relaxed geometry. Source: Alexandria via LeMat-Bulk, functional PBE-GGA.

As for the space group: F-43m, No. 216. As for the energy of formation from the pure elements: -124 kJ/mol of formula units.

```
LiCePmGe
1.0
0.000 3.649 3.649
3.649 0.000 3.649
3.649 3.649 0.000
Li Ce Pm Ge
1 1 1 1
Cartesian
0.000 0.000 0.000 Li
5.473 5.473 5.473 Ce
1.824 1.824 1.824 Pm
3.649 3.649 3.649 Ge
```

(14)
Crystalline Li2CePmGe2 at its relaxed geometry. Source: Alexandria via LeMat-Bulk, functional PBE-GGA.

As for the space group: P-3m1, No. 164. As for the energy of formation from the pure elements: -354 kJ/mol of formula units.

```
Li2CePmGe2
1.0
4.486 0.000 0.000
-2.243 3.885 0.000
0.000 0.000 7.447
Li Ce Pm Ge
2 1 1 2
Cartesian
0.000 2.590 1.888 Li
2.243 1.295 5.559 Li
0.000 0.000 0.000 Ce
0.000 0.000 3.724 Pm
0.000 2.590 5.621 Ge
2.243 1.295 1.826 Ge
```

(15)
Crystalline Li2CePm2Ge2 at its relaxed geometry. Source: Alexandria via LeMat-Bulk, functional PBE-GGA.

As for the space group: R-3m, No. 166. As for the energy of formation from the pure elements: -297 kJ/mol of formula units.

```
Li2CePm2Ge2
1.0
2.279 1.316 9.098
-2.279 1.316 9.098
0.000 -2.632 9.098
Li Ce Pm Ge
2 1 2 2
Cartesian
0.000 0.000 2.757 Li
0.000 0.000 24.536 Li
0.000 0.000 13.646 Ce
0.000 0.000 10.197 Pm
0.000 0.000 17.095 Pm
0.000 0.000 6.394 Ge
0.000 0.000 20.899 Ge
```

(16)
Crystalline Li2Ce2PrGe2 at its relaxed geometry. Source: Alexandria via LeMat-Bulk, functional PBE-GGA.

As for the space group: R-3m, No. 166. As for the energy of formation from the pure elements: -326 kJ/mol of formula units.

```
Li2Ce2PrGe2
1.0
2.215 1.279 9.005
-2.215 1.279 9.005
0.000 -2.558 9.005
Li Ce Pr Ge
2 2 1 2
Cartesian
0.000 0.000 2.419 Li
0.000 0.000 24.596 Li
0.000 0.000 9.659 Ce
0.000 0.000 17.356 Ce
0.000 0.000 13.508 Pr
0.000 0.000 6.441 Ge
0.000 0.000 20.575 Ge
```

(17)
Crystalline Li2CePr2Ge2 at its relaxed geometry. Source: Alexandria via LeMat-Bulk, functional PBE-GGA.

As for the space group: R-3m, No. 166. As for the energy of formation from the pure elements: -296 kJ/mol of formula units.

```
Li2CePr2Ge2
1.0
2.281 1.317 9.343
-2.281 1.317 9.343
0.000 -2.634 9.343
Li Ce Pr Ge
2 1 2 2
Cartesian
0.000 0.000 2.992 Li
0.000 0.000 25.038 Li
0.000 0.000 14.015 Ce
0.000 0.000 10.524 Pr
0.000 0.000 17.506 Pr
0.000 0.000 6.455 Ge
0.000 0.000 21.575 Ge
```

(18)
Crystalline LiCePrGe at its relaxed geometry. Source: Alexandria via LeMat-Bulk, functional PBE-GGA.

As for the space group: F-43m, No. 216. As for the energy of formation from the pure elements: -121 kJ/mol of formula units.

```
LiCePrGe
1.0
0.000 3.679 3.679
3.679 0.000 3.679
3.679 3.679 0.000
Li Ce Pr Ge
1 1 1 1
Cartesian
0.000 0.000 0.000 Li
5.519 5.519 5.519 Ce
1.840 1.840 1.840 Pr
3.679 3.679 3.679 Ge
```

(19)
Crystalline LiCeGe2Pt4 at its relaxed geometry. Source: Alexandria via LeMat-Bulk, functional PBE-GGA.

As for the space group: R-3m, No. 166. As for the energy of formation from the pure elements: -580 kJ/mol of formula units.

```
LiCeGe2Pt4
1.0
2.146 1.239 8.528
-2.146 1.239 8.528
0.000 -2.478 8.528
Li Ce Ge Pt
1 1 2 4
Cartesian
0.000 0.000 0.000 Li
0.000 0.000 12.792 Ce
0.000 0.000 6.678 Ge
0.000 0.000 18.906 Ge
0.000 0.000 2.508 Pt
0.000 0.000 9.336 Pt
0.000 0.000 16.248 Pt
0.000 0.000 23.076 Pt
```

(20)
Crystalline LiCe2Ge3Pt4 at its relaxed geometry. Source: Alexandria via LeMat-Bulk, functional PBE-GGA.

As for the space group: P-4m2, No. 115. As for the energy of formation from the pure elements: -863 kJ/mol of formula units.

```
LiCe2Ge3Pt4
1.0
4.271 0.000 0.000
0.000 4.271 0.000
0.000 0.000 10.346
Li Ce Ge Pt
1 2 3 4
Cartesian
0.000 0.000 0.000 Li
0.000 2.136 7.803 Ce
2.136 0.000 2.543 Ce
0.000 2.136 3.797 Ge
2.136 0.000 6.549 Ge
2.136 2.136 0.000 Ge
0.000 0.000 5.173 Pt
0.000 2.136 1.353 Pt
2.136 0.000 8.993 Pt
2.136 2.136 5.173 Pt
```